! TiBeInPb2 GGA-PBE relaxed; values from VASP
&SYSTEM
  ibrav = 0, nat = 5, ntyp = 4
/
ATOMIC_SPECIES
Ti 47.87 Ti.upf
Be 9.01 Be.upf
In 114.82 In.upf
Pb 207.20 Pb.upf
CELL_PARAMETERS angstrom
4.9642 0.0000 0.0000
0.0000 4.9642 0.0000
0.0000 0.0000 4.7942
ATOMIC_POSITIONS crystal
Ti 0.0000 0.0000 0.0000
Be 0.0000 0.0000 0.5000
In 0.5000 0.5000 0.0000
Pb 0.0000 0.5000 0.5000
Pb 0.5000 0.0000 0.5000
! space group = P4/mmm
! E_form = 2.351 eV/f.u.
! E above lowest polymorph = 0 meV per atom

***

! Dy4HoTl4 GGA-PBE relaxed; values from VASP
&SYSTEM
  ibrav = 0, nat = 18, ntyp = 3
/
ATOMIC_SPECIES
Dy 162.50 Dy.upf
Ho 164.93 Ho.upf
Tl 204.38 Tl.upf
CELL_PARAMETERS angstrom
9.3854 0.0000 0.0000
0.0000 9.3854 0.0000
0.0000 0.0000 5.9197
ATOMIC_POSITIONS crystal
Dy 0.0894 0.8267 0.1305
Dy 0.1733 0.5894 0.6305
Dy 0.3267 0.9106 0.6305
Dy 0.4106 0.6733 0.1305
Dy 0.5894 0.3267 0.8695
Dy 0.6733 0.0894 0.3695
Dy 0.8267 0.4106 0.3695
Dy 0.9106 0.1733 0.8695
Ho 0.2500 0.2500 0.7500
Ho 0.7500 0.7500 0.2500
Tl 0.0415 0.1479 0.3623
Tl 0.1479 0.4585 0.1377
Tl 0.3521 0.0415 0.1377
Tl 0.4585 0.3521 0.3623
Tl 0.5415 0.6479 0.6377
Tl 0.6479 0.9585 0.8623
Tl 0.8521 0.5415 0.8623
Tl 0.9585 0.8521 0.6377
! space group = P4_2/n
! E_form = -1.437 eV/f.u.

***

no.,electronic total energy (eV/atom)
1,-3.885
2,-3.765